5
Lattice="4.541 0.000 0.000 0.000 4.541 0.000 0.000 0.000 4.541" Properties=species:S:1:pos:R:3 comment="HfMn3Os (PBE, relaxed)" energy_ev_per_atom=-8.686 space_group="Pm-3m (221)" ef_ev_per_atom=1.053 pbc="T T T"
Hf 0.000 0.000 0.000
Mn 0.000 2.270 2.270
Mn 2.270 0.000 2.270
Mn 2.270 2.270 0.000
Os 2.270 2.270 2.270

---

3
Lattice="-1.766 1.766 5.299 1.766 -1.766 5.299 1.766 1.766 -5.299" Properties=species:S:1:pos:R:3 comment="DyTiNb (PBE, relaxed)" energy_ev_per_atom=-7.370 space_group="I4mm (107)" ef_ev_per_atom=0.152 pbc="T T T"
Dy 0.000 0.000 0.000
Ti 0.000 0.000 3.160
Nb 0.000 0.000 7.406

---

8
Lattice="-3.001 3.001 6.263 3.001 -3.001 6.263 3.001 3.001 -6.263" Properties=species:S:1:pos:R:3 comment="TlPbF2 (PBE, relaxed)" energy_ev_per_atom=-3.880 space_group="I-42d (122)" pbc="T T T"
Tl 0.000 0.000 0.000
Tl 0.000 3.001 3.132
Pb 3.001 0.000 3.132
Pb 0.000 0.000 6.263
F 1.501 -1.088 4.697
F 1.914 1.501 1.566
F 1.501 4.089 -1.566
F 1.088 1.501 7.829

---

12
Lattice="3.540 -6.138 0.000 3.540 6.138 0.000 -2.339 0.000 7.629" Properties=species:S:1:pos:R:3 comment="Rb3LiU2S6 (PBE, relaxed)" energy_ev_per_atom=-5.723 space_group="C2/m (12)" pbc="T T T"
Rb 0.000 0.000 0.000
Rb 3.540 1.956 0.000
Rb 3.540 -1.956 0.000
Li 2.370 0.000 3.814
U 2.370 4.086 3.814
U 2.370 -4.086 3.814
S 1.126 2.155 2.358
S -0.091 0.000 5.240
S 1.126 -2.155 2.358
S 3.615 2.155 5.271
S 4.832 0.000 2.389
S 3.615 -2.155 5.271

---

5
Lattice="5.451 0.000 0.000 0.000 5.451 0.000 0.000 0.000 4.111" Properties=species:S:1:pos:R:3 comment="BePtSeI2 (PBE, relaxed)" energy_ev_per_atom=-2.555 space_group="P4/mmm (123)" pbc="T T T"
Be 0.000 0.000 0.000
Pt 2.725 2.725 2.055
Se 0.000 0.000 2.055
I 0.000 2.725 0.000
I 2.725 0.000 0.000

---

6
Lattice="-1.974 2.022 6.898 1.974 -2.022 6.898 1.974 2.022 -6.898" Properties=species:S:1:pos:R:3 comment="U2CuSi3 (PBE, relaxed)" energy_ev_per_atom=-7.429 space_group="Imm2 (44)" pbc="T T T"
U 0.000 0.000 0.000
U 0.000 2.022 3.629
Cu 0.000 0.000 8.194
Si 1.974 0.000 2.349
Si 1.974 0.000 4.672
Si 0.000 0.000 5.915

---

10
Lattice="1.952 -8.992 0.000 1.952 8.992 0.000 0.000 0.000 8.245" Properties=species:S:1:pos:R:3 comment="Ac2LaGaN (PBE, relaxed)" energy_ev_per_atom=-5.434 space_group="Cmcm (63)" pbc="T T T"
Ac 1.952 6.471 4.332
Ac 1.952 6.471 8.035
Ac 1.952 -6.471 0.210
Ac 1.952 -6.471 3.912
La 1.952 0.145 6.183
La 1.952 -0.145 2.061
Ga 1.952 3.546 6.183
Ga 1.952 -3.546 2.061
N 0.000 0.000 0.000
N 0.000 0.000 4.122

---

5
Lattice="5.609 0.000 0.000 0.000 5.609 0.000 0.000 0.000 4.218" Properties=species:S:1:pos:R:3 comment="CaLa2ScO (PBE, relaxed)" energy_ev_per_atom=-5.714 space_group="P4/mmm (123)" pbc="T T T"
Ca 0.000 0.000 0.000
La 0.000 2.804 2.109
La 2.804 0.000 2.109
Sc 2.804 2.804 0.000
O 2.804 2.804 2.109

---

20
Lattice="9.518 0.000 0.000 0.000 6.886 0.000 0.000 0.000 6.595" Properties=species:S:1:pos:R:3 comment="CeZrGa3 (PBE, relaxed)" energy_ev_per_atom=-4.971 space_group="Pnma (62)" ef_ev_per_atom=-0.259 pbc="T T T"
Ce 0.780 1.721 0.400
Ce 3.979 5.164 3.698
Ce 5.539 1.721 2.898
Ce 8.738 5.164 6.195
Zr 0.000 0.000 3.298
Zr 0.000 3.443 3.298
Zr 4.759 0.000 0.000
Zr 4.759 3.443 0.000
Ga 1.559 5.164 1.435
Ga 1.958 3.897 5.509
Ga 1.958 6.431 5.509
Ga 2.801 0.454 2.211
Ga 2.801 2.988 2.211
Ga 3.200 1.721 4.732
Ga 6.318 5.164 1.863
Ga 6.717 3.897 4.384
Ga 6.717 6.431 4.384
Ga 7.560 0.454 1.086
Ga 7.560 2.988 1.086
Ga 7.960 1.721 5.160

---

4
Lattice="0.000 3.427 3.427 3.427 0.000 3.427 3.427 3.427 0.000" Properties=species:S:1:pos:R:3 comment="TbPmBeCo (PBE, relaxed)" energy_ev_per_atom=-5.000 space_group="F-43m (216)" ef_ev_per_atom=0.053 pbc="T T T"
Tb 0.000 0.000 0.000
Pm 3.427 3.427 3.427
Be 1.713 1.713 1.713
Co 5.140 5.140 5.140

---

10
Lattice="6.042 0.000 0.000 0.000 6.042 0.000 0.000 0.000 4.802" Properties=species:S:1:pos:R:3 comment="Y2BOs2 (PBE, relaxed)" energy_ev_per_atom=-8.325 space_group="P4/mbm (127)" ef_ev_per_atom=0.088 pbc="T T T"
Y 1.035 1.987 0.000
Y 1.987 5.008 0.000
Y 4.056 1.035 0.000
Y 5.008 4.056 0.000
B 0.000 0.000 2.401
B 3.021 3.021 2.401
Os 0.942 3.964 2.401
Os 2.079 0.942 2.401
Os 3.964 5.100 2.401
Os 5.100 2.079 2.401

---

4
Lattice="0.000 3.796 3.796 3.796 0.000 3.796 3.796 3.796 0.000" Properties=species:S:1:pos:R:3 comment="CaTbTlHg (PBE, relaxed)" energy_ev_per_atom=-2.797 space_group="F-43m (216)" ef_ev_per_atom=-0.472 pbc="T T T"
Ca 0.000 0.000 0.000
Tb 3.796 3.796 3.796
Tl 1.898 1.898 1.898
Hg 5.694 5.694 5.694